Entry 1:
Material: Ti2P2W
Method: DFT, meta-GGA SCAN
State: single point on PBEsol structure

Structure (CIF):
```
data_Ti2P2W
_cell_length_a 6.3623
_cell_length_b 6.3623
_cell_length_c 3.3980
_cell_angle_alpha 90.00
_cell_angle_beta 90.00
_cell_angle_gamma 90.00
_symmetry_space_group_name_H-M 'P 4/m b m'
_symmetry_Int_Tables_number 127
_symmetry_space_group_name_Hall '-P 4 2ab'
loop_
_atom_site_label
_atom_site_fract_x
_atom_site_fract_y
_atom_site_fract_z
Ti1 0.1602 0.3398 0.0000
P1 0.1389 0.6389 0.5000
W1 0.0000 0.0000 0.5000
```

Summary:
V: 13.75 Å³/atom
total magnetization: 0.00 μB per formula unit
mass density: 8.25 Mg/m³
calculated formation energy: -0.9000 eV per atom

---

Entry 2:
Material: SrTaAlFe2
Method: DFT, meta-GGA SCAN
State: single point on PBEsol structure

Structure (CIF):
```
data_SrTaAlFe2
_cell_length_a 4.4847
_cell_length_b 4.4847
_cell_length_c 5.0283
_cell_angle_alpha 90.00
_cell_angle_beta 90.00
_cell_angle_gamma 90.00
_symmetry_space_group_name_H-M 'P 4/m m m'
_symmetry_Int_Tables_number 123
_symmetry_space_group_name_Hall '-P 4 2'
loop_
_atom_site_label
_atom_site_fract_x
_atom_site_fract_y
_atom_site_fract_z
Sr1 0.0000 0.0000 0.0000
Ta1 0.0000 0.0000 0.5000
Al1 0.5000 0.5000 0.5000
Fe1 0.0000 0.5000 0.0000
```

Summary:
V: 20.23 Å³/atom
total magnetization: 4.75 μB per formula unit
mass density: 6.69 Mg/m³
calculated formation energy: 2.5430 eV per atom

---

Entry 3:
Material: Ni2IrAu
Method: DFT, meta-GGA SCAN
State: single point on PBEsol structure

Structure (CIF):
```
data_Ni2IrAu
_cell_length_a 5.4029
_cell_length_b 7.1183
_cell_length_c 2.6901
_cell_angle_alpha 90.00
_cell_angle_beta 90.00
_cell_angle_gamma 90.00
_symmetry_space_group_name_H-M 'C m m m'
_symmetry_Int_Tables_number 65
_symmetry_space_group_name_Hall '-C 2 2'
loop_
_atom_site_label
_atom_site_fract_x
_atom_site_fract_y
_atom_site_fract_z
Ni1 0.2500 0.2500 0.0000
Ir1 0.0000 0.0000 0.5000
Au1 0.0000 0.5000 0.5000
```

Summary:
V: 12.93 Å³/atom
polymorph energy (0 for the lowest one): 71.9 meV/atom
total magnetization: 1.86 μB per formula unit
mass density: 16.26 Mg/m³
calculated formation energy: 0.1342 eV per atom

---

Entry 4:
Material: K2Se3
Method: DFT, meta-GGA SCAN
State: single point on PBEsol structure

Structure (CIF):
```
data_K2Se3
_cell_length_a 7.4619
_cell_length_b 10.4897
_cell_length_c 7.4448
_cell_angle_alpha 90.00
_cell_angle_beta 90.00
_cell_angle_gamma 90.00
_symmetry_space_group_name_H-M 'C m c 21'
_symmetry_Int_Tables_number 36
_symmetry_space_group_name_Hall 'C 2c -2'
loop_
_atom_site_label
_atom_site_fract_x
_atom_site_fract_y
_atom_site_fract_z
K1 0.0000 0.0866 0.0000
K2 0.0000 0.4056 0.7811
Se1 0.0000 0.2878 0.3401
Se2 0.2476 0.1631 0.6473
```

Summary:
formation energy from raw total energies: -0.9522 eV per atom
V: 29.14 Å³/atom
total magnetization: 0.00 μB per formula unit
mass density: 3.59 Mg/m³

---

Entry 5:
Material: LaZnHg2
Method: DFT, meta-GGA SCAN
State: single point on PBEsol structure

Structure (CIF):
```
data_LaZnHg2
_cell_length_a 7.1248
_cell_length_b 7.1248
_cell_length_c 7.1248
_cell_angle_alpha 90.00
_cell_angle_beta 90.00
_cell_angle_gamma 90.00
_symmetry_space_group_name_H-M 'F -4 3 m'
_symmetry_Int_Tables_number 216
_symmetry_space_group_name_Hall 'F -4 2 3'
loop_
_atom_site_label
_atom_site_fract_x
_atom_site_fract_y
_atom_site_fract_z
La1 0.0000 0.0000 0.0000
Zn1 0.2500 0.2500 0.2500
Hg1 0.0000 0.0000 0.5000
Hg2 0.2500 0.2500 0.7500
```

Summary:
V: 22.61 Å³/atom
total magnetization: 0.00 μB per formula unit
mass density: 11.12 Mg/m³
calculated formation energy: -0.4294 eV per atom

---

Entry 6:
Material: K2CdPt
Method: DFT, meta-GGA SCAN
State: single point on PBEsol structure

Structure (CIF):
```
data_K2CdPt
_cell_length_a 4.6415
_cell_length_b 4.6415
_cell_length_c 24.0517
_cell_angle_alpha 90.00
_cell_angle_beta 90.00
_cell_angle_gamma 120.00
_symmetry_space_group_name_H-M 'R 3 m'
_symmetry_Int_Tables_number 160
_symmetry_space_group_name_Hall 'R 3 -2"'
loop_
_atom_site_label
_atom_site_fract_x
_atom_site_fract_y
_atom_site_fract_z
K1 0.0000 0.0000 0.0000
K2 0.0000 0.0000 0.1731
Cd1 0.0000 0.0000 0.4198
Pt1 0.0000 0.0000 0.7534
```

Summary:
V: 37.40 Å³/atom
polymorph energy (0 for the lowest one): 0.0 meV/atom
total magnetization: 0.00 μB per formula unit
mass density: 4.28 Mg/m³
calculated formation energy: -0.1856 eV per atom

---

Entry 7:
Material: YNbTl2F
Method: DFT, meta-GGA SCAN
State: single point on PBEsol structure

Structure (CIF):
```
data_YNbTl2F
_cell_length_a 5.7957
_cell_length_b 5.7957
_cell_length_c 4.0165
_cell_angle_alpha 90.00
_cell_angle_beta 90.00
_cell_angle_gamma 90.00
_symmetry_space_group_name_H-M 'P 4/m m m'
_symmetry_Int_Tables_number 123
_symmetry_space_group_name_Hall '-P 4 2'
loop_
_atom_site_label
_atom_site_fract_x
_atom_site_fract_y
_atom_site_fract_z
Y1 0.0000 0.0000 0.0000
Nb1 0.5000 0.5000 0.5000
Tl1 0.0000 0.5000 0.0000
F1 0.0000 0.0000 0.5000
```

Summary:
formation energy from raw total energies: -0.2530 eV per atom
V: 26.98 Å³/atom
total magnetization: 2.84 μB per formula unit
mass density: 7.50 Mg/m³

---

Entry 8:
Material: ZnAgCl2
Method: DFT, meta-GGA SCAN
State: single point on PBEsol structure

Structure (CIF):
```
data_ZnAgCl2
_cell_length_a 3.8534
_cell_length_b 3.8534
_cell_length_c 5.4158
_cell_angle_alpha 90.00
_cell_angle_beta 90.00
_cell_angle_gamma 90.00
_symmetry_space_group_name_H-M 'P 4/m m m'
_symmetry_Int_Tables_number 123
_symmetry_space_group_name_Hall '-P 4 2'
loop_
_atom_site_label
_atom_site_fract_x
_atom_site_fract_y
_atom_site_fract_z
Zn1 0.0000 0.0000 0.0000
Ag1 0.5000 0.5000 0.5000
Cl1 0.0000 0.0000 0.5000
Cl2 0.5000 0.5000 0.0000
```

Summary:
formation energy from raw total energies: -0.3956 eV per atom
V: 20.10 Å³/atom
polymorph energy (0 for the lowest one): 0.0 meV/atom
total magnetization: 0.00 μB per formula unit
mass density: 5.04 Mg/m³

---

Entry 9:
Material: KLiAs2Se
Method: DFT, meta-GGA SCAN
State: single point on PBEsol structure

Structure (CIF):
```
data_KLiAs2Se
_cell_length_a 4.6587
_cell_length_b 4.6587
_cell_length_c 5.0000
_cell_angle_alpha 90.00
_cell_angle_beta 90.00
_cell_angle_gamma 90.00
_symmetry_space_group_name_H-M 'P 4/m m m'
_symmetry_Int_Tables_number 123
_symmetry_space_group_name_Hall '-P 4 2'
loop_
_atom_site_label
_atom_site_fract_x
_atom_site_fract_y
_atom_site_fract_z
K1 0.0000 0.0000 0.0000
Li1 0.5000 0.5000 0.5000
As1 0.0000 0.5000 0.5000
Se1 0.5000 0.5000 0.0000
```

Summary:
formation energy from raw total energies: -0.0064 eV per atom
V: 21.70 Å³/atom
total magnetization: 0.00 μB per formula unit
mass density: 4.21 Mg/m³

---

Entry 10:
Material: Ti3AgC
Method: DFT, meta-GGA SCAN
State: single point on PBEsol structure

Structure (CIF):
```
data_Ti3AgC
_cell_length_a 4.1573
_cell_length_b 4.1573
_cell_length_c 4.1573
_cell_angle_alpha 90.00
_cell_angle_beta 90.00
_cell_angle_gamma 90.00
_symmetry_space_group_name_H-M 'P m -3 m'
_symmetry_Int_Tables_number 221
_symmetry_space_group_name_Hall '-P 4 2 3'
loop_
_atom_site_label
_atom_site_fract_x
_atom_site_fract_y
_atom_site_fract_z
Ti1 0.0000 0.0000 0.5000
Ag1 0.5000 0.5000 0.5000
C1 0.0000 0.0000 0.0000
```

Summary:
V: 14.37 Å³/atom
total magnetization: 0.00 μB per formula unit
mass density: 6.09 Mg/m³
calculated formation energy: -0.4779 eV per atom

---

Entry 11:
Material: Sr3CrN3
Method: DFT, meta-GGA SCAN
State: single point on PBEsol structure

Structure (CIF):
```
data_Sr3CrN3
_cell_length_a 7.6953
_cell_length_b 7.6953
_cell_length_c 5.1858
_cell_angle_alpha 90.00
_cell_angle_beta 90.00
_cell_angle_gamma 120.00
_symmetry_space_group_name_H-M 'P 63/m'
_symmetry_Int_Tables_number 176
_symmetry_space_group_name_Hall '-P 6c'
loop_
_atom_site_label
_atom_site_fract_x
_atom_site_fract_y
_atom_site_fract_z
Sr1 0.0853 0.7274 0.2500
Cr1 0.3333 0.6667 0.7500
N1 0.1199 0.6842 0.7500
```

Summary:
formation energy from raw total energies: -1.0365 eV per atom
V: 19.00 Å³/atom
total magnetization: 0.00 μB per formula unit
mass density: 4.46 Mg/m³

---

Entry 12:
Material: AgRhBr2
Method: DFT, meta-GGA SCAN
State: single point on PBEsol structure

Structure (CIF):
```
data_AgRhBr2
_cell_length_a 3.4443
_cell_length_b 4.5926
_cell_length_c 11.8249
_cell_angle_alpha 90.00
_cell_angle_beta 90.00
_cell_angle_gamma 90.00
_symmetry_space_group_name_H-M 'I m m m'
_symmetry_Int_Tables_number 71
_symmetry_space_group_name_Hall '-I 2 2'
loop_
_atom_site_label
_atom_site_fract_x
_atom_site_fract_y
_atom_site_fract_z
Ag1 0.0000 0.0000 0.0000
Rh1 0.0000 0.0000 0.5000
Br1 0.0000 0.5000 0.1474
```

Summary:
formation energy from raw total energies: -0.1457 eV per atom
V: 23.38 Å³/atom
polymorph energy (0 for the lowest one): 0.0 meV/atom
total magnetization: 0.00 μB per formula unit
mass density: 6.58 Mg/m³